# RbCrCu (GGA-PBE, optimized geometry)
# - mass density (Mg/m³) = 4.21
# - crystal system = triclinic
# - energy of formation (eV/atom) = 0.61
# - magnetization (μB per atom) = 0.000
data_RbCrCu
_chemical_formula_sum 'Rb2 Cr2 Cu2'
_cell_length_a 3.194
_cell_length_b 4.067
_cell_length_c 12.375
_cell_angle_alpha 80.57
_cell_angle_beta 89.76
_cell_angle_gamma 89.99
_space_group_name_H-M_alt 'P 1'
_space_group_IT_number 1
loop_
_space_group_symop_operation_xyz
'x,y,z'
loop_
_atom_site_label
_atom_site_fract_x
_atom_site_fract_y
_atom_site_fract_z
Rb1 0.000 0.000 0.000
Rb2 0.480 0.678 0.635
Cr1 0.006 0.810 0.376
Cr2 0.509 0.868 0.259
Cu1 0.010 0.381 0.234
Cu2 0.508 0.297 0.400

---

# RbCr3Cu (GGA-PBE, optimized geometry)
# - mass density (Mg/m³) = 4.03
# - crystal system = cubic
# - energy of formation (eV/atom) = 1.29
# - magnetization (μB per atom) = 2.767
data_RbCr3Cu
_chemical_formula_sum 'Rb1 Cr3 Cu1'
_cell_length_a 5.010
_cell_length_b 5.010
_cell_length_c 5.010
_cell_angle_alpha 90.00
_cell_angle_beta 90.00
_cell_angle_gamma 90.00
_space_group_name_H-M_alt 'P m -3 m'
_space_group_IT_number 221
_space_group_name_Hall '-P 4 2 3'
loop_
_atom_site_label
_atom_site_fract_x
_atom_site_fract_y
_atom_site_fract_z
Rb1 0.000 0.000 0.000
Cr1 0.000 0.500 0.500
Cu1 0.500 0.500 0.500

---

Among the records above, which one has the highest mass density?
RbCrCu

---

Which of these has the lowest energy of formation?
RbCrCu

---

Copy entry 1 word for word.
# RbCrCu (GGA-PBE, optimized geometry)
# - mass density (Mg/m³) = 4.21
# - crystal system = triclinic
# - energy of formation (eV/atom) = 0.61
# - magnetization (μB per atom) = 0.000
data_RbCrCu
_chemical_formula_sum 'Rb2 Cr2 Cu2'
_cell_length_a 3.194
_cell_length_b 4.067
_cell_length_c 12.375
_cell_angle_alpha 80.57
_cell_angle_beta 89.76
_cell_angle_gamma 89.99
_space_group_name_H-M_alt 'P 1'
_space_group_IT_number 1
loop_
_space_group_symop_operation_xyz
'x,y,z'
loop_
_atom_site_label
_atom_site_fract_x
_atom_site_fract_y
_atom_site_fract_z
Rb1 0.000 0.000 0.000
Rb2 0.480 0.678 0.635
Cr1 0.006 0.810 0.376
Cr2 0.509 0.868 0.259
Cu1 0.010 0.381 0.234
Cu2 0.508 0.297 0.400

---

Which of these has the highest energy of formation?
RbCr3Cu